No. 1
A geometry-optimized Pa3Te3Se structure. Source: the Alexandria database, functional PBE.

Summary:
M_tot (μB per atom): 0.67
Uncorrected energy (eV/atom): -6.61

a b c (Å): 7.431 7.431 8.042
angles (deg): 91.36 91.36 110.67
Atoms (fractional coordinates):
Pa 0.034 0.034 0.297
Pa 0.174 0.473 0.812
Pa 0.473 0.174 0.812
Pa 0.527 0.826 0.188
Pa 0.826 0.527 0.188
Pa 0.966 0.966 0.703
Te 0.164 0.836 0.000
Te 0.230 0.770 0.500
Te 0.365 0.365 0.139
Te 0.635 0.635 0.861
Te 0.770 0.230 0.500
Te 0.836 0.164 0.000
Se 0.278 0.278 0.552
Se 0.722 0.722 0.448



No. 2
A geometry-optimized Ba5Sb2H structure. Source: the Alexandria database, functional PBE.

Summary:
M_tot (μB per atom): 0.00
Uncorrected energy (eV/atom): -3.20

a b c (Å): 7.963 7.963 10.142
angles (deg): 90.00 90.00 90.00
Atoms (fractional coordinates):
Ba 0.000 0.000 0.000
Ba 0.249 0.249 0.758
Ba 0.249 0.751 0.758
Ba 0.251 0.251 0.258
Ba 0.251 0.749 0.258
Ba 0.500 0.500 0.500
Ba 0.749 0.251 0.258
Ba 0.749 0.749 0.258
Ba 0.751 0.249 0.758
Ba 0.751 0.751 0.758
Sb 0.000 0.500 0.005
Sb 0.000 0.500 0.505
Sb 0.500 0.000 0.005
Sb 0.500 0.000 0.505
H 0.000 0.000 0.747
H 0.500 0.500 0.247



No. 3
A geometry-optimized Sr2PrHg3 structure. Source: the Alexandria database, functional PBE.

Summary:
Energy above the most stable polymorph in this dataset (meV per atom): 0
Calculated formation energy (eV/atom): -0.51
M_tot (μB per atom): 0.01

a b c (Å): 3.947 3.947 11.935
angles (deg): 90.00 90.00 90.00
Atoms (fractional coordinates):
Sr 0.000 0.000 0.170
Sr 0.000 0.000 0.830
Pr 0.000 0.000 0.500
Hg 0.500 0.500 0.000
Hg 0.500 0.500 0.347
Hg 0.500 0.500 0.653